(1)
Computed, not measured: a geometry-optimized Si3BiRu structure at the PBE level of DFT.

Values from the calculation:
total DFT energy (no corrections)	-5.520	eV/atom
total magnetization	0.00	μB per formula unit
formation energy from raw total energies	0.3653	eV/atom
SG	Pm-3m (221)
ΔE to the lowest computed polymorph	0.000	eV per atom

Cell: 4.700 4.700 4.700 Å, 90.00 90.00 90.00°
Atoms (fractional coordinates):
Si  0.000  0.000  0.500
Si  0.000  0.500  0.000
Si  0.500  0.000  0.000
Bi  0.500  0.500  0.500
Ru  0.000  0.000  0.000

=====

(2)
Computed, not measured: a geometry-optimized LiTa2In structure at the PBE level of DFT.

Values from the calculation:
total DFT energy (no corrections)	-6.773	eV/atom
total magnetization	0.00	μB per formula unit
energy of formation	0.316	eV/atom
SG	Pmmm (47)

Cell: 2.869 4.668 5.437 Å, 90.00 90.00 90.00°
Atoms (fractional coordinates):
Li  0.000  0.000  0.000
Ta  0.500  0.500  0.244
Ta  0.500  0.500  0.756
In  0.000  0.000  0.500

=====

(3)
Computed, not measured: a geometry-optimized Sc2SiOs structure at the PBE level of DFT.

Values from the calculation:
total DFT energy (no corrections)	-7.895	eV/atom
total magnetization	0.00	μB per formula unit
formation energy from raw total energies	-0.5660	eV/atom
SG	Pm (6)

Cell: 3.403 4.193 5.344 Å, 90.00 108.44 90.00°
Atoms (fractional coordinates):
Sc  0.000  0.000  0.000
Sc  0.299  0.500  0.602
Si  0.584  0.500  0.170
Os  0.717  0.000  0.440

=====

(4)
Computed, not measured: a geometry-optimized CsTaP3 structure at the PBE level of DFT.

Values from the calculation:
total DFT energy (no corrections)	-3.075	eV/atom
total magnetization	0.00	μB per formula unit
energy of formation	2.712	eV/atom
SG	Pm-3m (221)

Cell: 5.089 5.089 5.089 Å, 90.00 90.00 90.00°
Atoms (fractional coordinates):
Cs  0.000  0.000  0.000
Ta  0.500  0.500  0.500
P  0.000  0.000  0.500
P  0.000  0.500  0.000
P  0.500  0.000  0.000

=====

(5)
Computed, not measured: a geometry-optimized Be2BiP structure at the PBE level of DFT.

Values from the calculation:
total DFT energy (no corrections)	-4.003	eV/atom
total magnetization	0.00	μB per formula unit
energy of formation	0.183	eV/atom
SG	I-42d (122)
ΔE to the lowest computed polymorph	0.000	eV per atom

Cell: 6.305 6.305 6.305 Å, 126.64 126.64 78.84°
Atoms (fractional coordinates):
Be  0.046  0.625  0.921
Be  0.375  0.296  0.421
Be  0.704  0.125  0.079
Be  0.875  0.954  0.579
Bi  0.250  0.750  0.500
Bi  0.500  0.500  0.000
P  0.000  0.000  0.000
P  0.750  0.250  0.500

=====

(6)
Computed, not measured: a geometry-optimized MoAs2Cl structure at the PBE level of DFT.

Values from the calculation:
total DFT energy (no corrections)	-5.307	eV/atom
total magnetization	0.00	μB per formula unit
formation energy from raw total energies	0.1871	eV/atom
SG	Cmmm (65)
ΔE to the lowest computed polymorph	0.328	eV per atom

Cell: 3.069 3.069 8.567 Å, 90.00 90.00 110.02°
Atoms (fractional coordinates):
Mo  0.000  0.000  0.000
As  0.500  0.500  0.218
As  0.500  0.500  0.782
Cl  0.000  0.000  0.500

=====

(7)
Computed, not measured: a geometry-optimized SrZnPb structure at the PBE level of DFT.

Values from the calculation:
total DFT energy (no corrections)	-2.443	eV/atom
total magnetization	0.00	μB per formula unit
energy of formation	-0.221	eV/atom
SG	I4mm (107)

Cell: 6.640 6.640 6.640 Å, 146.72 146.72 47.78°
Atoms (fractional coordinates):
Sr  0.000  0.000  0.000
Zn  0.668  0.668  0.000
Pb  0.298  0.298  0.000

=====

(8)
Computed, not measured: a geometry-optimized PmSi7Ru3 structure at the PBE level of DFT.

Values from the calculation:
total DFT energy (no corrections)	-6.943	eV/atom
total magnetization	0.00	μB per formula unit
formation energy from raw total energies	-0.5305	eV/atom
SG	R-3c (167)

Cell: 8.028 8.028 8.028 Å, 56.99 56.99 56.99°
Atoms (fractional coordinates):
Pm  0.000  0.000  0.000
Pm  0.500  0.500  0.500
Si  0.061  0.853  0.669
Si  0.147  0.331  0.939
Si  0.169  0.353  0.561
Si  0.250  0.250  0.250
Si  0.331  0.939  0.147
Si  0.353  0.561  0.169
Si  0.439  0.831  0.647
Si  0.561  0.169  0.353
Si  0.647  0.439  0.831
Si  0.669  0.061  0.853
Si  0.750  0.750  0.750
Si  0.831  0.647  0.439
Si  0.853  0.669  0.061
Si  0.939  0.147  0.331
Ru  0.078  0.750  0.422
Ru  0.250  0.578  0.922
Ru  0.422  0.078  0.750
Ru  0.578  0.922  0.250
Ru  0.750  0.422  0.078
Ru  0.922  0.250  0.578

=====

(9)
Computed, not measured: a geometry-optimized DyEr2AlS6 structure at the PBE level of DFT.

Values from the calculation:
total DFT energy (no corrections)	-5.975	eV/atom
total magnetization	0.00	μB per formula unit
formation energy from raw total energies	-1.7511	eV/atom
SG	R3 (146)

Cell: 7.085 7.085 7.085 Å, 56.30 56.30 56.30°
Atoms (fractional coordinates):
Dy  0.000  0.000  0.000
Er  0.294  0.294  0.294
Er  0.798  0.798  0.798
Al  0.495  0.495  0.495
S  0.124  0.698  0.394
S  0.232  0.600  0.862
S  0.394  0.124  0.698
S  0.600  0.862  0.232
S  0.698  0.394  0.124
S  0.862  0.232  0.600

=====

(10)
Computed, not measured: a geometry-optimized Na3ScTe structure at the PBE level of DFT.

Values from the calculation:
total DFT energy (no corrections)	-2.005	eV/atom
total magnetization	1.97	μB per formula unit
formation energy from raw total energies	0.6812	eV/atom
SG	Pm-3m (221)
ΔE to the lowest computed polymorph	0.542	eV per atom

Cell: 5.978 5.978 5.978 Å, 90.00 90.00 90.00°
Atoms (fractional coordinates):
Na  0.000  0.000  0.500
Na  0.000  0.500  0.000
Na  0.500  0.000  0.000
Sc  0.000  0.000  0.000
Te  0.500  0.500  0.500

=====

(11)
Computed, not measured: a geometry-optimized NdSmGePd structure at the PBE level of DFT.

Values from the calculation:
total DFT energy (no corrections)	-5.558	eV/atom
total magnetization	0.00	μB per formula unit
energy of formation	-0.734	eV/atom
SG	F-43m (216)
ΔE to the lowest computed polymorph	0.095	eV per atom

Cell: 5.152 5.152 5.152 Å, 60.00 60.00 60.00°
Atoms (fractional coordinates):
Nd  0.000  0.000  0.000
Sm  0.500  0.500  0.500
Ge  0.750  0.750  0.750
Pd  0.250  0.250  0.250

=====

(12)
Computed, not measured: a geometry-optimized Te4Mo3S2 structure at the PBE level of DFT.

Values from the calculation:
total DFT energy (no corrections)	-6.332	eV/atom
total magnetization	0.00	μB per formula unit
formation energy from raw total energies	-0.4080	eV/atom
SG	P3m1 (156)

Cell: 3.422 3.422 28.469 Å, 90.00 90.00 120.00°
Atoms (fractional coordinates):
Te  0.000  0.000  0.000
Te  0.000  0.000  0.131
Te  0.333  0.667  0.270
Te  0.333  0.667  0.401
Mo  0.000  0.000  0.335
Mo  0.333  0.667  0.065
Mo  0.333  0.667  0.590
S  0.000  0.000  0.538
S  0.000  0.000  0.643

=====

(13)
Computed, not measured: a geometry-optimized Cd3In5Sn3 structure at the PBE level of DFT.

Values from the calculation:
total DFT energy (no corrections)	-2.446	eV/atom
total magnetization	0.00	μB per formula unit
energy of formation	0.140	eV/atom
SG	P-62m (189)

Cell: 9.641 9.641 3.985 Å, 90.00 90.00 120.00°
Atoms (fractional coordinates):
Cd  0.000  0.821  0.000
Cd  0.179  0.179  0.000
Cd  0.821  0.000  0.000
In  0.000  0.351  0.000
In  0.333  0.667  0.000
In  0.351  0.000  0.000
In  0.649  0.649  0.000
In  0.667  0.333  0.000
Sn  0.000  0.588  0.500
Sn  0.412  0.412  0.500
Sn  0.588  0.000  0.500

=====

(14)
Computed, not measured: a geometry-optimized Ti2VTc5B2 structure at the PBE level of DFT.

Values from the calculation:
total DFT energy (no corrections)	-9.406	eV/atom
total magnetization	0.00	μB per formula unit
energy of formation	-0.396	eV/atom
SG	P4/mbm (127)

Cell: 9.228 9.228 3.064 Å, 90.00 90.00 90.00°
Atoms (fractional coordinates):
Ti  0.174  0.326  0.000
Ti  0.326  0.826  0.000
Ti  0.674  0.174  0.000
Ti  0.826  0.674  0.000
V  0.000  0.000  0.000
V  0.500  0.500  0.000
Tc  0.000  0.500  0.500
Tc  0.070  0.791  0.500
Tc  0.209  0.070  0.500
Tc  0.291  0.570  0.500
Tc  0.430  0.291  0.500
Tc  0.500  0.000  0.500
Tc  0.570  0.709  0.500
Tc  0.709  0.430  0.500
Tc  0.791  0.930  0.500
Tc  0.930  0.209  0.500
B  0.127  0.627  0.000
B  0.373  0.127  0.000
B  0.627  0.873  0.000
B  0.873  0.373  0.000

=====

(15)
Computed, not measured: a geometry-optimized Ho3Sc13 structure at the PBE level of DFT.

Values from the calculation:
total DFT energy (no corrections)	-5.989	eV/atom
total magnetization	0.00	μB per formula unit
energy of formation	0.013	eV/atom
SG	Amm2 (38)

Cell: 6.742 7.832 7.832 Å, 83.95 90.00 90.00°
Atoms (fractional coordinates):
Ho  0.000  0.000  0.000
Ho  0.253  0.256  0.256
Ho  0.747  0.256  0.256
Sc  0.000  0.082  0.587
Sc  0.000  0.506  0.506
Sc  0.000  0.587  0.082
Sc  0.251  0.750  0.750
Sc  0.252  0.339  0.830
Sc  0.252  0.830  0.339
Sc  0.500  0.079  0.594
Sc  0.500  0.506  0.506
Sc  0.500  0.594  0.079
Sc  0.500  0.999  0.999
Sc  0.748  0.339  0.830
Sc  0.748  0.830  0.339
Sc  0.749  0.750  0.750

=====

(16)
Computed, not measured: a geometry-optimized RbNa3W structure at the PBE level of DFT.

Values from the calculation:
total DFT energy (no corrections)	-1.775	eV/atom
total magnetization	4.96	μB per formula unit
energy of formation	1.800	eV/atom
SG	Pm-3m (221)
ΔE to the lowest computed polymorph	0.562	eV per atom

Cell: 6.025 6.025 6.025 Å, 90.00 90.00 90.00°
Atoms (fractional coordinates):
Rb  0.000  0.000  0.000
Na  0.000  0.000  0.500
Na  0.000  0.500  0.000
Na  0.500  0.000  0.000
W  0.500  0.500  0.500

=====

(17)
Computed, not measured: a geometry-optimized BeSbTe2Rh structure at the PBE level of DFT.

Values from the calculation:
total DFT energy (no corrections)	-3.608	eV/atom
total magnetization	0.00	μB per formula unit
formation energy from raw total energies	0.6885	eV/atom
SG	P4/mmm (123)
ΔE to the lowest computed polymorph	0.000	eV per atom

Cell: 4.907 4.907 4.660 Å, 90.00 90.00 90.00°
Atoms (fractional coordinates):
Be  0.000  0.000  0.000
Sb  0.000  0.000  0.500
Te  0.000  0.500  0.000
Te  0.500  0.000  0.000
Rh  0.500  0.500  0.500

=====

(18)
Computed, not measured: a geometry-optimized Er5PdPb4 structure at the PBE level of DFT.

Values from the calculation:
total DFT energy (no corrections)	-4.643	eV/atom
total magnetization	0.00	μB per formula unit
energy of formation	-0.358	eV/atom
SG	I4 (79)

Cell: 7.484 7.484 7.484 Å, 100.00 100.00 130.75°
Atoms (fractional coordinates):
Er  0.000  0.000  0.000
Er  0.112  0.481  0.823
Er  0.289  0.112  0.631
Er  0.481  0.658  0.369
Er  0.658  0.289  0.177
Pd  0.493  0.493  0.000
Pb  0.183  0.796  0.218
Pb  0.578  0.965  0.782
Pb  0.796  0.578  0.613
Pb  0.965  0.183  0.387

=====

(19)
Computed, not measured: a geometry-optimized CsNaHgO2 structure at the PBE level of DFT.

Values from the calculation:
total DFT energy (no corrections)	-3.455	eV/atom
total magnetization	0.00	μB per formula unit
formation energy from raw total energies	-0.9769	eV/atom
SG	Cmme (67)

Cell: 7.334 7.334 5.521 Å, 90.00 90.00 128.20°
Atoms (fractional coordinates):
Cs  0.250  0.750  0.799
Cs  0.750  0.250  0.201
Na  0.250  0.250  0.000
Na  0.750  0.750  0.000
Hg  0.000  0.000  0.500
Hg  0.500  0.500  0.500
O  0.097  0.903  0.215
O  0.403  0.597  0.215
O  0.597  0.403  0.785
O  0.903  0.097  0.785

=====

(20)
Computed, not measured: a geometry-optimized Li8PrO6 structure at the PBE level of DFT.

Values from the calculation:
total DFT energy (no corrections)	-5.255	eV/atom
total magnetization	1.10	μB per formula unit
formation energy from raw total energies	-1.9320	eV/atom
SG	R-3 (148)

Cell: 6.513 6.513 6.513 Å, 52.15 52.15 52.15°
Atoms (fractional coordinates):
Li  0.000  0.405  0.722
Li  0.000  0.595  0.278
Li  0.129  0.129  0.129
Li  0.278  0.000  0.595
Li  0.405  0.722  0.000
Li  0.595  0.278  0.000
Li  0.722  0.000  0.405
Li  0.871  0.871  0.871
Pr  0.500  0.500  0.500
O  0.101  0.744  0.386
O  0.256  0.614  0.899
O  0.386  0.101  0.744
O  0.614  0.899  0.256
O  0.744  0.386  0.101
O  0.899  0.256  0.614

=====

(21)
Computed, not measured: a geometry-optimized CaPr2AuO5 structure at the PBE level of DFT.

Values from the calculation:
total DFT energy (no corrections)	-6.645	eV/atom
total magnetization	1.01	μB per formula unit
formation energy from raw total energies	-2.2422	eV/atom
SG	P4/mbm (127)

Cell: 6.786 6.786 6.127 Å, 90.00 90.00 90.00°
Atoms (fractional coordinates):
Ca  0.000  0.000  0.000
Ca  0.500  0.500  0.000
Pr  0.171  0.329  0.500
Pr  0.329  0.829  0.500
Pr  0.671  0.171  0.500
Pr  0.829  0.671  0.500
Au  0.000  0.500  0.000
Au  0.500  0.000  0.000
O  0.000  0.000  0.500
O  0.152  0.652  0.251
O  0.152  0.652  0.749
O  0.348  0.152  0.251
O  0.348  0.152  0.749
O  0.500  0.500  0.500
O  0.652  0.848  0.251
O  0.652  0.848  0.749
O  0.848  0.348  0.251
O  0.848  0.348  0.749

=====

(22)
Computed, not measured: a geometry-optimized LaErInGa structure at the PBE level of DFT.

Values from the calculation:
total DFT energy (no corrections)	-4.347	eV/atom
total magnetization	0.00	μB per formula unit
energy of formation	-0.533	eV/atom
SG	P4mm (99)
ΔE to the lowest computed polymorph	0.000	eV per atom

Cell: 3.701 3.701 7.697 Å, 90.00 90.00 90.00°
Atoms (fractional coordinates):
La  0.000  0.000  0.000
Er  0.000  0.000  0.470
In  0.500  0.500  0.714
Ga  0.500  0.500  0.259

=====

(23)
Computed, not measured: a geometry-optimized CaSbN structure at the PBE level of DFT.

Values from the calculation:
total DFT energy (no corrections)	-5.213	eV/atom
total magnetization	0.00	μB per formula unit
formation energy from raw total energies	-0.3963	eV/atom
SG	P-1 (2)

Cell: 4.120 4.412 8.531 Å, 84.69 89.96 62.46°
Atoms (fractional coordinates):
Ca  0.151  0.201  0.370
Ca  0.849  0.799  0.630
Sb  0.157  0.188  0.891
Sb  0.843  0.812  0.109
N  0.189  0.122  0.651
N  0.811  0.878  0.349

=====

(24)
Computed, not measured: a geometry-optimized BeSi2Ir structure at the PBE level of DFT.

Values from the calculation:
total DFT energy (no corrections)	-5.832	eV/atom
total magnetization	0.00	μB per formula unit
formation energy from raw total energies	0.0259	eV/atom
SG	P4/mmm (123)

Cell: 3.707 3.707 3.612 Å, 90.00 90.00 90.00°
Atoms (fractional coordinates):
Be  0.000  0.000  0.000
Si  0.000  0.500  0.500
Si  0.500  0.000  0.500
Ir  0.500  0.500  0.000